Entry 1:
VASP calculation (meta-GGA SCAN) on TaCo3Au at its PBEsol-relaxed geometry.

V: 17.8 Å³/atom
calculated formation energy: 1.680 eV per atom
uncorrected energy: -35.85 eV/atom

Unit cell a=4.461 b=4.461 c=4.461 alpha=90.00 beta=90.00 gamma=90.00
Space group Pm-3m (No. 221)
Unique sites:
Ta 0.000 0.000 0.000 [1 per cell]
Co 0.000 0.500 0.500 [3 per cell]
Au 0.500 0.500 0.500 [1 per cell]

Entry 2:
VASP calculation (meta-GGA SCAN) on ZrTaRu2 at its PBEsol-relaxed geometry.

V: 16.2 Å³/atom
calculated formation energy: -0.589 eV per atom
uncorrected energy: -42.32 eV/atom

Unit cell a=3.121 b=3.121 c=6.636 alpha=90.00 beta=90.00 gamma=90.00
Space group P4/mmm (No. 123)
Unique sites:
Zr 0.000 0.000 0.000 [1 per cell]
Ta 0.000 0.000 0.500 [1 per cell]
Ru 0.500 0.500 0.266 [2 per cell]

Entry 3:
VASP calculation (meta-GGA SCAN) on BeSi3Pd at its PBEsol-relaxed geometry.

V: 19.7 Å³/atom
uncorrected energy: -12.35 eV/atom
formation energy from raw total energies: 1.09 eV per atom

Unit cell a=4.620 b=4.620 c=4.620 alpha=90.00 beta=90.00 gamma=90.00
Space group Pm-3m (No. 221)
Unique sites:
Be 0.000 0.000 0.000 [1 per cell]
Si 0.000 0.500 0.500 [3 per cell]
Pd 0.500 0.500 0.500 [1 per cell]

Entry 4:
VASP calculation (meta-GGA SCAN) on SiRh2Se at its PBEsol-relaxed geometry.

V: 15.1 Å³/atom
E above lowest polymorph: 0 meV per atom
uncorrected energy: -24.82 eV/atom
formation energy from raw total energies: -0.41 eV per atom

Unit cell a=6.866 b=2.900 c=6.191 alpha=90.00 beta=101.12 gamma=90.00
Space group C2/m (No. 12)
Unique sites:
Si 0.000 0.000 0.000 [2 per cell]
Rh 0.244 0.500 0.201 [4 per cell]
Se 0.000 0.500 0.500 [2 per cell]